Record 1
A relaxed structure of Dy2Ga3Cu12Pd. Source: Alexandria via LeMat-Bulk, functional PBE.

a = 12.174 Å, b = 12.174 Å, c = 12.174 Å
α = 25.03°, β = 25.03°, γ = 25.03°
Sites, in units of the cell vectors:
Ga: 0.500 0.000 0.000
Ga: 0.000 0.000 0.500
Ga: 0.000 0.500 0.000
Cu: 0.398 0.398 0.871
Cu: 0.110 0.110 0.607
Cu: 0.890 0.393 0.890
Cu: 0.129 0.602 0.602
Cu: 0.607 0.110 0.110
Cu: 0.602 0.602 0.129
Cu: 0.110 0.607 0.110
Cu: 0.890 0.890 0.393
Cu: 0.871 0.398 0.398
Cu: 0.602 0.129 0.602
Cu: 0.393 0.890 0.890
Cu: 0.398 0.871 0.398
Pd: 0.000 0.000 0.000
Dy: 0.357 0.357 0.357
Dy: 0.643 0.643 0.643

Summary:
Space group: R-3m, No. 166

Record 2
A relaxed structure of DyGa2CuPd4. Source: Alexandria via LeMat-Bulk, functional PBE.

a = 4.388 Å, b = 4.388 Å, c = 8.321 Å
α = 74.71°, β = 74.71°, γ = 60.00°
Sites, in units of the cell vectors:
Pd: 0.394 0.394 0.817
Pd: 0.128 0.128 0.617
Pd: 0.606 0.606 0.183
Pd: 0.872 0.872 0.383
Ga: 0.241 0.241 0.277
Ga: 0.759 0.759 0.723
Dy: 0.000 0.000 0.000
Cu: 0.500 0.500 0.500

Summary:
Space group: R-3m, No. 166

Record 3
A relaxed structure of Dy2Ga2CuPd5. Source: Alexandria via LeMat-Bulk, functional PBE.

a = 3.613 Å, b = 9.892 Å, c = 9.892 Å
α = 90.00°, β = 90.00°, γ = 90.00°
Sites, in units of the cell vectors:
Ga: 0.000 0.875 0.375
Ga: 0.000 0.375 0.125
Ga: 0.000 0.125 0.625
Ga: 0.000 0.625 0.875
Pd: 0.500 0.301 0.559
Pd: 0.500 0.559 0.699
Pd: 0.500 0.199 0.059
Pd: 0.500 0.059 0.801
Pd: 0.500 0.941 0.199
Pd: 0.500 0.441 0.301
Pd: 0.500 0.500 0.000
Pd: 0.500 0.000 0.500
Pd: 0.500 0.801 0.941
Pd: 0.500 0.699 0.441
Dy: 0.000 0.675 0.175
Dy: 0.000 0.175 0.325
Dy: 0.000 0.825 0.675
Dy: 0.000 0.325 0.825
Cu: 0.000 0.500 0.500
Cu: 0.000 0.000 0.000

Summary:
Space group: P4/mbm, No. 127

Record 4
A relaxed structure of PmDyGaCu. Source: Alexandria via LeMat-Bulk, functional PBE.

a = 5.070 Å, b = 5.070 Å, c = 5.070 Å
α = 60.00°, β = 60.00°, γ = 60.00°
Sites, in units of the cell vectors:
Cu: 0.250 0.250 0.250
Pm: 0.500 0.500 0.500
Ga: 0.750 0.750 0.750
Dy: 0.000 0.000 0.000

Summary:
Space group: F-43m, No. 216

no.,electronic total energy (eV/atom),calculated formation energy (eV per atom),density of states at the Fermi level (states/eV per cell)
1,-4.027,0.008,11.97
2,-5.069,-0.628,3.15
3,-5.174,-0.642,12.33
4,-4.499,-0.380,3.78